Entry 1:
## RbLi2PaO4 (PBE)

Data for RbLi2PaO4 after structural relaxation.

Calculated volume   15.671 A^3/atom
Raw total energy   -6.65 eV per atom
Total moment   0.00 Bohr magnetons per cell

abc: 5.7566 5.5569 5.5569
angles: 62.41 58.80 58.80
Positions (direct):
Rb 0.0000 0.0000 0.0000
Li 0.2499 0.2501 0.2501
Li 0.7501 0.7499 0.7499
Pa 0.5000 0.5000 0.5000
O 0.4661 0.1301 0.5336
O 0.1298 0.8699 0.4664
O 0.8702 0.5336 0.1301
O 0.5339 0.4664 0.8699

Entry 2:
## RbLiPaO4 (PBE)

Data for RbLiPaO4 after structural relaxation.

Calculated volume   16.497 A^3/atom
Raw total energy   -7.06 eV per atom
Total moment   0.03 Bohr magnetons per cell

abc: 5.5053 5.7021 8.5453
angles: 90.00 120.57 90.00
Positions (direct):
Rb 0.6105 0.7500 0.9177
Rb 0.3895 0.2500 0.0823
Li 0.1736 0.7500 0.3146
Li 0.8264 0.2500 0.6854
Pa 0.7660 0.7500 0.4556
Pa 0.2340 0.2500 0.5444
O 0.0571 0.4946 0.6673
O 0.9429 0.9946 0.3327
O 0.9429 0.5054 0.3327
O 0.0571 0.0054 0.6673
O 0.4095 0.7500 0.2042
O 0.5905 0.2500 0.7958
O 0.5126 0.7500 0.5660
O 0.4874 0.2500 0.4340

Entry 3:
## Rb4LiPa3O12 (PBE)

Data for Rb4LiPa3O12 after structural relaxation.

Calculated volume   17.485 A^3/atom
Raw total energy   -7.12 eV per atom
Total moment   1.76 Bohr magnetons per cell

abc: 7.6872 7.6872 7.6872
angles: 109.47 109.47 109.47
Positions (direct):
Rb 0.5000 0.5000 0.5000
Rb 0.0000 0.0000 0.5000
Rb 0.5000 0.0000 0.0000
Rb 0.0000 0.5000 0.0000
Li 0.0000 0.0000 0.0000
Pa 0.5000 0.0000 0.5000
Pa 0.5000 0.5000 0.0000
Pa 0.0000 0.5000 0.5000
O 0.2500 0.5000 0.7500
O 0.7248 0.0000 0.7248
O 0.2752 0.0000 0.2752
O 0.7500 0.5000 0.2500
O 0.7248 0.7248 0.0000
O 0.2752 0.2752 0.0000
O 0.7500 0.2500 0.5000
O 0.2500 0.7500 0.5000
O 0.5000 0.2500 0.7500
O 0.0000 0.7248 0.7248
O 0.5000 0.7500 0.2500
O 0.0000 0.2752 0.2752

Entry 4:
## RbLiPaO3 (PBE)

Data for RbLiPaO3 after structural relaxation.

Calculated volume   17.438 A^3/atom
Raw total energy   -7.08 eV per atom
Total moment   1.97 Bohr magnetons per cell

abc: 3.6168 6.6182 9.0878
angles: 90.00 90.00 105.86
Positions (direct):
Rb 0.7298 0.4597 0.7500
Rb 0.2702 0.5403 0.2500
Li 0.4541 0.9082 0.7500
Li 0.5459 0.0918 0.2500
Pa 0.0000 0.0000 0.5000
Pa 0.0000 0.0000 0.0000
O 0.6032 0.2065 0.4473
O 0.3968 0.7935 0.5527
O 0.3968 0.7935 0.9473
O 0.6032 0.2065 0.0527
O 0.0338 0.0676 0.7500
O 0.9662 0.9324 0.2500

Entry 5:
## Rb2Li2PaO4 (PBE)

Data for Rb2Li2PaO4 after structural relaxation.

Calculated volume   18.274 A^3/atom
Raw total energy   -6.14 eV per atom
Total moment   0.26 Bohr magnetons per cell

abc: 3.6066 6.9090 8.8706
angles: 127.95 90.00 105.13
Positions (direct):
Rb 0.8314 0.6628 0.4195
Rb 0.1686 0.3372 0.5805
Li 0.3388 0.6776 0.0628
Li 0.6612 0.3224 0.9372
Pa 0.0000 0.0000 0.0000
O 0.8108 0.6216 0.9265
O 0.1892 0.3784 0.0735
O 0.5478 0.0956 0.1931
O 0.4522 0.9044 0.8069

Entry 6:
## Rb2LiPaO4 (PBE)

Data for Rb2LiPaO4 after structural relaxation.

Calculated volume   17.152 A^3/atom
Raw total energy   -6.58 eV per atom
Total moment   0.00 Bohr magnetons per cell

abc: 3.6555 5.7523 6.7667
angles: 105.35 90.00 90.00
Positions (direct):
Rb 0.5000 0.0000 0.5000
Rb 0.0000 0.5000 0.5000
Li 0.0000 0.0000 0.0000
Pa 0.5000 0.5000 0.0000
O 0.5000 0.2753 0.1905
O 0.5000 0.7247 0.8095
O 0.0000 0.2854 0.8326
O 0.0000 0.7146 0.1674

Copy entry 6 word for word.
## Rb2LiPaO4 (PBE)

Data for Rb2LiPaO4 after structural relaxation.

Calculated volume   17.152 A^3/atom
Raw total energy   -6.58 eV per atom
Total moment   0.00 Bohr magnetons per cell

abc: 3.6555 5.7523 6.7667
angles: 105.35 90.00 90.00
Positions (direct):
Rb 0.5000 0.0000 0.5000
Rb 0.0000 0.5000 0.5000
Li 0.0000 0.0000 0.0000
Pa 0.5000 0.5000 0.0000
O 0.5000 0.2753 0.1905
O 0.5000 0.7247 0.8095
O 0.0000 0.2854 0.8326
O 0.0000 0.7146 0.1674